Entry 1:
A plane-wave DFT calculation with GGA-PBE was carried out for crystalline SnGe2Rh2 at its relaxed geometry. Values from VASP.

ΔH_f (0 K) = -16.0 kJ/mol of atoms
Space group = P4/mbm, No. 127
E above lowest polymorph = 102 meV per atom
Volume = 17.2 Å³ per atom

```
&SYSTEM
  ibrav = 0, nat = 10, ntyp = 3
/
ATOMIC_SPECIES
Sn 118.71 Sn.upf
Ge 72.64 Ge.upf
Rh 102.91 Rh.upf
CELL_PARAMETERS angstrom
7.692 0.000 0.000
0.000 7.692 0.000
0.000 0.000 2.899
ATOMIC_POSITIONS crystal
Sn 0.000 0.000 0.000
Sn 0.500 0.500 0.000
Ge 0.141 0.359 0.000
Ge 0.359 0.859 0.000
Ge 0.641 0.141 0.000
Ge 0.859 0.641 0.000
Rh 0.145 0.645 0.500
Rh 0.355 0.145 0.500
Rh 0.645 0.855 0.500
Rh 0.855 0.355 0.500
```

Entry 2:
A plane-wave DFT calculation with GGA-PBE was carried out for crystalline LiHfVOs at its relaxed geometry. Values from VASP.

ΔH_f (0 K) = -12.0 kJ/mol of atoms
Space group = F-43m, No. 216
Volume = 15.5 Å³ per atom

```
&SYSTEM
  ibrav = 0, nat = 4, ntyp = 4
/
ATOMIC_SPECIES
Li 6.94 Li.upf
Hf 178.49 Hf.upf
V 50.94 V.upf
Os 190.23 Os.upf
CELL_PARAMETERS angstrom
0.000 3.140 3.140
3.140 0.000 3.140
3.140 3.140 0.000
ATOMIC_POSITIONS crystal
Li 0.000 0.000 0.000
Hf 0.250 0.250 0.250
V 0.750 0.750 0.750
Os 0.500 0.500 0.500
```

Entry 3:
A plane-wave DFT calculation with GGA-PBE was carried out for crystalline K5LiTeO2 at its relaxed geometry. Values from VASP.

Space group = P4/mmm, No. 123
Volume = 29.8 Å³ per atom
Formation energy without anion corrections = -1.1564 eV per atom

```
&SYSTEM
  ibrav = 0, nat = 9, ntyp = 4
/
ATOMIC_SPECIES
K 39.10 K.upf
Li 6.94 Li.upf
Te 127.60 Te.upf
O 16.00 O.upf
CELL_PARAMETERS angstrom
5.360 0.000 0.000
0.000 5.360 0.000
0.000 0.000 9.330
ATOMIC_POSITIONS crystal
K 0.000 0.000 0.000
K 0.000 0.500 0.258
K 0.000 0.500 0.742
K 0.500 0.000 0.258
K 0.500 0.000 0.742
Li 0.000 0.000 0.500
Te 0.500 0.500 0.000
O 0.000 0.000 0.307
O 0.000 0.000 0.693
```

Entry 4:
A plane-wave DFT calculation with GGA-PBE was carried out for crystalline BeAg at its relaxed geometry. Values from VASP.

ΔH_f (0 K) = 61.4 kJ/mol of atoms
Space group = P4/mmm, No. 123
Volume = 17.1 Å³ per atom

```
&SYSTEM
  ibrav = 0, nat = 6, ntyp = 2
/
ATOMIC_SPECIES
Be 9.01 Be.upf
Ag 107.87 Ag.upf
CELL_PARAMETERS angstrom
4.671 0.000 0.000
0.000 4.671 0.000
0.000 0.000 4.713
ATOMIC_POSITIONS crystal
Be 0.000 0.000 0.000
Be 0.000 0.500 0.500
Be 0.500 0.000 0.500
Ag 0.000 0.000 0.500
Ag 0.000 0.500 0.000
Ag 0.500 0.000 0.000
```

Entry 5:
A plane-wave DFT calculation with GGA-PBE was carried out for crystalline La6Ga2Sb at its relaxed geometry. Values from VASP.

Space group = Immm, No. 71
Volume = 31.7 Å³ per atom
Formation energy without anion corrections = -0.5216 eV per atom

```
&SYSTEM
  ibrav = 0, nat = 18, ntyp = 3
/
ATOMIC_SPECIES
La 138.91 La.upf
Ga 69.72 Ga.upf
Sb 121.76 Sb.upf
CELL_PARAMETERS angstrom
-4.981 5.146 5.574
4.981 -5.146 5.574
4.981 5.146 -5.574
ATOMIC_POSITIONS crystal
La 0.038 0.239 0.800
La 0.186 0.278 0.464
La 0.186 0.722 0.908
La 0.325 0.036 0.710
La 0.325 0.615 0.290
La 0.439 0.239 0.200
La 0.561 0.761 0.800
La 0.675 0.385 0.710
La 0.675 0.964 0.290
La 0.814 0.278 0.092
La 0.814 0.722 0.536
La 0.962 0.761 0.200
Ga 0.118 0.618 0.500
Ga 0.369 0.000 0.369
Ga 0.631 0.000 0.631
Ga 0.882 0.382 0.500
Sb 0.000 0.000 0.000
Sb 0.500 0.500 0.000
```

Entry 6:
A plane-wave DFT calculation with GGA-PBE was carried out for crystalline BiSbSe2 at its relaxed geometry. Values from VASP.

Space group = R-3m, No. 166
E above lowest polymorph = 13 meV per atom
Volume = 30.8 Å³ per atom
Formation energy without anion corrections = -0.0883 eV per atom

```
&SYSTEM
  ibrav = 0, nat = 4, ntyp = 3
/
ATOMIC_SPECIES
Bi 208.98 Bi.upf
Sb 121.76 Sb.upf
Se 78.96 Se.upf
CELL_PARAMETERS angstrom
1.956 1.129 9.311
-1.956 1.129 9.311
0.000 -2.258 9.311
ATOMIC_POSITIONS crystal
Bi 0.000 0.000 0.000
Sb 0.500 0.500 0.500
Se 0.104 0.104 0.104
Se 0.896 0.896 0.896
```

Entry 7:
A plane-wave DFT calculation with GGA-PBE was carried out for crystalline NaLa2Pb2 at its relaxed geometry. Values from VASP.

ΔH_f (0 K) = -36.4 kJ/mol of atoms
Space group = P4/mbm, No. 127
E above lowest polymorph = 51 meV per atom
Volume = 34.3 Å³ per atom

```
&SYSTEM
  ibrav = 0, nat = 10, ntyp = 3
/
ATOMIC_SPECIES
Na 22.99 Na.upf
La 138.91 La.upf
Pb 207.20 Pb.upf
CELL_PARAMETERS angstrom
9.643 0.000 0.000
0.000 9.643 0.000
0.000 0.000 3.690
ATOMIC_POSITIONS crystal
Na 0.000 0.000 0.000
Na 0.500 0.500 0.000
La 0.129 0.371 0.000
La 0.371 0.871 0.000
La 0.629 0.129 0.000
La 0.871 0.629 0.000
Pb 0.171 0.671 0.500
Pb 0.329 0.171 0.500
Pb 0.671 0.829 0.500
Pb 0.829 0.329 0.500
```

Entry 8:
A plane-wave DFT calculation with GGA-PBE was carried out for crystalline CoPt2Pb2 at its relaxed geometry. Values from VASP.

ΔH_f (0 K) = 40.8 kJ/mol of atoms
Space group = P4/mbm, No. 127
E above lowest polymorph = 229 meV per atom
Volume = 20.3 Å³ per atom

```
&SYSTEM
  ibrav = 0, nat = 10, ntyp = 3
/
ATOMIC_SPECIES
Co 58.93 Co.upf
Pt 195.08 Pt.upf
Pb 207.20 Pb.upf
CELL_PARAMETERS angstrom
7.479 0.000 0.000
0.000 7.479 0.000
0.000 0.000 3.623
ATOMIC_POSITIONS crystal
Co 0.000 0.000 0.000
Co 0.500 0.500 0.000
Pt 0.135 0.365 0.500
Pt 0.365 0.865 0.500
Pt 0.635 0.135 0.500
Pt 0.865 0.635 0.500
Pb 0.166 0.666 0.000
Pb 0.334 0.166 0.000
Pb 0.666 0.834 0.000
Pb 0.834 0.334 0.000
```

Entry 9:
A plane-wave DFT calculation with GGA-PBE was carried out for crystalline RbHfRe2Te at its relaxed geometry. Values from VASP.

Space group = P4/mmm, No. 123
Volume = 25.5 Å³ per atom
Formation energy without anion corrections = 3.2330 eV per atom

```
&SYSTEM
  ibrav = 0, nat = 5, ntyp = 4
/
ATOMIC_SPECIES
Rb 85.47 Rb.upf
Hf 178.49 Hf.upf
Re 186.21 Re.upf
Te 127.60 Te.upf
CELL_PARAMETERS angstrom
4.748 0.000 0.000
0.000 4.748 0.000
0.000 0.000 5.647
ATOMIC_POSITIONS crystal
Rb 0.000 0.000 0.000
Hf 0.500 0.500 0.500
Re 0.000 0.500 0.000
Re 0.500 0.000 0.000
Te 0.000 0.000 0.500
```

Entry 10:
A plane-wave DFT calculation with GGA-PBE was carried out for crystalline SiH at its relaxed geometry. Values from VASP.

Space group = Fm-3m, No. 225
E above lowest polymorph = 779 meV per atom
Volume = 8.8 Å³ per atom

```
&SYSTEM
  ibrav = 0, nat = 2, ntyp = 2
/
ATOMIC_SPECIES
Si 28.09 Si.upf
H 1.01 H.upf
CELL_PARAMETERS angstrom
0.000 2.064 2.064
2.064 0.000 2.064
2.064 2.064 0.000
ATOMIC_POSITIONS crystal
Si 0.000 0.000 0.000
H 0.500 0.500 0.500
```

Entry 11:
A plane-wave DFT calculation with GGA-PBE was carried out for crystalline YTl5Cl8 at its relaxed geometry. Values from VASP.

Space group = C2, No. 5
Volume = 36.1 Å³ per atom
Formation energy without anion corrections = -1.3836 eV per atom

```
&SYSTEM
  ibrav = 0, nat = 14, ntyp = 3
/
ATOMIC_SPECIES
Y 88.91 Y.upf
Tl 204.38 Tl.upf
Cl 35.45 Cl.upf
CELL_PARAMETERS angstrom
6.802 -4.898 0.000
6.802 4.898 0.000
-6.576 0.000 7.588
ATOMIC_POSITIONS crystal
Y 0.000 0.000 0.000
Tl 0.058 0.521 0.507
Tl 0.306 0.288 0.974
Tl 0.479 0.942 0.493
Tl 0.712 0.694 0.026
Tl 0.722 0.278 0.500
Cl 0.011 0.369 0.128
Cl 0.011 0.624 0.865
Cl 0.031 0.049 0.298
Cl 0.376 0.989 0.135
Cl 0.479 0.400 0.676
Cl 0.600 0.521 0.324
Cl 0.631 0.989 0.872
Cl 0.951 0.969 0.702
```

Entry 12:
A plane-wave DFT calculation with GGA-PBE was carried out for crystalline Hf2Ti4In5 at its relaxed geometry. Values from VASP.

ΔH_f (0 K) = 9.4 kJ/mol of atoms
Space group = Immm, No. 71
Volume = 21.5 Å³ per atom

```
&SYSTEM
  ibrav = 0, nat = 11, ntyp = 3
/
ATOMIC_SPECIES
Hf 178.49 Hf.upf
Ti 47.87 Ti.upf
In 114.82 In.upf
CELL_PARAMETERS angstrom
-2.798 4.255 4.961
2.798 -4.255 4.961
2.798 4.255 -4.961
ATOMIC_POSITIONS crystal
Hf 0.235 0.235 0.000
Hf 0.765 0.765 0.000
Ti 0.071 0.743 0.328
Ti 0.415 0.743 0.672
Ti 0.585 0.257 0.328
Ti 0.929 0.257 0.672
In 0.000 0.500 0.500
In 0.313 0.248 0.561
In 0.313 0.752 0.065
In 0.687 0.248 0.935
In 0.687 0.752 0.439
```

Entry 13:
A plane-wave DFT calculation with GGA-PBE was carried out for crystalline CoRhS at its relaxed geometry. Values from VASP.

Space group = P1, No. 1
Volume = 15.6 Å³ per atom
Formation energy without anion corrections = -0.0155 eV per atom

```
&SYSTEM
  ibrav = 0, nat = 6, ntyp = 3
/
ATOMIC_SPECIES
Co 58.93 Co.upf
Rh 102.91 Rh.upf
S 32.06 S.upf
CELL_PARAMETERS angstrom
3.924 0.000 0.000
0.942 4.117 0.000
0.393 0.595 5.778
ATOMIC_POSITIONS crystal
Co 0.000 0.000 0.000
Co 0.438 0.036 0.277
Rh 0.382 0.409 0.849
Rh 0.871 0.477 0.239
S 0.344 0.504 0.454
S 0.553 0.851 0.926
```

Entry 14:
A plane-wave DFT calculation with GGA-PBE was carried out for crystalline Ta4Nb2W at its relaxed geometry. Values from VASP.

ΔH_f (0 K) = 32.9 kJ/mol of atoms
Space group = Cmcm, No. 63
E above lowest polymorph = 80 meV per atom
Volume = 18.5 Å³ per atom

```
&SYSTEM
  ibrav = 0, nat = 14, ntyp = 3
/
ATOMIC_SPECIES
Ta 180.95 Ta.upf
Nb 92.91 Nb.upf
W 183.84 W.upf
CELL_PARAMETERS angstrom
2.342 -4.056 0.000
2.342 4.056 0.000
0.000 0.000 13.655
ATOMIC_POSITIONS crystal
Ta 0.000 0.000 0.000
Ta 0.000 0.000 0.500
Ta 0.333 0.667 0.645
Ta 0.333 0.667 0.855
Ta 0.334 0.666 0.250
Ta 0.666 0.334 0.750
Ta 0.667 0.333 0.145
Ta 0.667 0.333 0.355
Nb 0.333 0.667 0.065
Nb 0.333 0.667 0.435
Nb 0.667 0.333 0.565
Nb 0.667 0.333 0.935
W 0.001 0.999 0.250
W 0.999 0.001 0.750
```

Entry 15:
A plane-wave DFT calculation with GGA-PBE was carried out for crystalline Pm2Th2Bi5 at its relaxed geometry. Values from VASP.

ΔH_f (0 K) = -63.2 kJ/mol of atoms
Space group = Cmce, No. 64
Volume = 33.0 Å³ per atom

```
&SYSTEM
  ibrav = 0, nat = 18, ntyp = 3
/
ATOMIC_SPECIES
Pm 145.00 Pm.upf
Th 232.04 Th.upf
Bi 208.98 Bi.upf
CELL_PARAMETERS angstrom
8.121 -4.267 0.000
8.121 4.267 0.000
0.000 0.000 8.580
ATOMIC_POSITIONS crystal
Pm 0.152 0.848 0.845
Pm 0.348 0.652 0.345
Pm 0.652 0.348 0.655
Pm 0.848 0.152 0.155
Th 0.193 0.193 0.500
Th 0.307 0.307 0.000
Th 0.693 0.693 0.000
Th 0.807 0.807 0.500
Bi 0.000 0.000 0.500
Bi 0.015 0.704 0.154
Bi 0.204 0.515 0.654
Bi 0.296 0.985 0.154
Bi 0.485 0.796 0.654
Bi 0.500 0.500 0.000
Bi 0.515 0.204 0.346
Bi 0.704 0.015 0.846
Bi 0.796 0.485 0.346
Bi 0.985 0.296 0.846
```

Entry 16:
A plane-wave DFT calculation with GGA-PBE was carried out for crystalline RbPu6Se12 at its relaxed geometry. Values from VASP.

Space group = R-3m, No. 166
Volume = 28.1 Å³ per atom
Formation energy without anion corrections = -1.1702 eV per atom

```
&SYSTEM
  ibrav = 0, nat = 19, ntyp = 3
/
ATOMIC_SPECIES
Rb 85.47 Rb.upf
Pu 244.00 Pu.upf
Se 78.96 Se.upf
CELL_PARAMETERS angstrom
6.782 3.916 3.347
-6.782 3.916 3.347
0.000 -7.831 3.347
ATOMIC_POSITIONS crystal
Rb 0.000 0.000 0.000
Pu 0.250 0.250 0.656
Pu 0.250 0.656 0.250
Pu 0.344 0.750 0.750
Pu 0.656 0.250 0.250
Pu 0.750 0.344 0.750
Pu 0.750 0.750 0.344
Se 0.132 0.500 0.868
Se 0.132 0.868 0.500
Se 0.181 0.438 0.438
Se 0.438 0.181 0.438
Se 0.438 0.438 0.181
Se 0.500 0.132 0.868
Se 0.500 0.868 0.132
Se 0.562 0.562 0.819
Se 0.562 0.819 0.562
Se 0.819 0.562 0.562
Se 0.868 0.132 0.500
Se 0.868 0.500 0.132
```

Entry 17:
A plane-wave DFT calculation with GGA-PBE was carried out for crystalline Er2Ir3Rh at its relaxed geometry. Values from VASP.

ΔH_f (0 K) = -78.4 kJ/mol of atoms
Space group = R-3m, No. 166
Volume = 17.9 Å³ per atom

```
&SYSTEM
  ibrav = 0, nat = 6, ntyp = 3
/
ATOMIC_SPECIES
Er 167.26 Er.upf
Ir 192.22 Ir.upf
Rh 102.91 Rh.upf
CELL_PARAMETERS angstrom
2.666 1.539 4.356
-2.666 1.539 4.356
0.000 -3.079 4.356
ATOMIC_POSITIONS crystal
Er 0.124 0.124 0.124
Er 0.876 0.876 0.876
Ir 0.000 0.500 0.500
Ir 0.500 0.000 0.500
Ir 0.500 0.500 0.000
Rh 0.500 0.500 0.500
```

Entry 18:
A plane-wave DFT calculation with GGA-PBE was carried out for crystalline Li5MgTl3 at its relaxed geometry. Values from VASP.

ΔH_f (0 K) = -20.0 kJ/mol of atoms
Space group = P6_3/mcm, No. 193
Volume = 20.2 Å³ per atom

```
&SYSTEM
  ibrav = 0, nat = 18, ntyp = 3
/
ATOMIC_SPECIES
Li 6.94 Li.upf
Mg 24.30 Mg.upf
Tl 204.38 Tl.upf
CELL_PARAMETERS angstrom
8.431 0.000 0.000
-4.215 7.301 0.000
0.000 0.000 5.897
ATOMIC_POSITIONS crystal
Li 0.000 0.332 0.250
Li 0.000 0.668 0.750
Li 0.332 0.000 0.250
Li 0.332 0.332 0.750
Li 0.333 0.667 0.000
Li 0.333 0.667 0.500
Li 0.667 0.333 0.000
Li 0.667 0.333 0.500
Li 0.668 0.000 0.750
Li 0.668 0.668 0.250
Mg 0.000 0.000 0.000
Mg 0.000 0.000 0.500
Tl 0.000 0.338 0.750
Tl 0.000 0.662 0.250
Tl 0.338 0.000 0.750
Tl 0.338 0.338 0.250
Tl 0.662 0.000 0.250
Tl 0.662 0.662 0.750
```

Entry 19:
A plane-wave DFT calculation with GGA-PBE was carried out for crystalline DyAg5Pd6 at its relaxed geometry. Values from VASP.

ΔH_f (0 K) = -26.3 kJ/mol of atoms
Space group = P2/m, No. 10
Volume = 17.2 Å³ per atom

```
&SYSTEM
  ibrav = 0, nat = 12, ntyp = 3
/
ATOMIC_SPECIES
Dy 162.50 Dy.upf
Ag 107.87 Ag.upf
Pd 106.42 Pd.upf
CELL_PARAMETERS angstrom
4.840 0.000 0.000
0.000 6.042 0.000
-0.761 0.000 7.047
ATOMIC_POSITIONS crystal
Dy 0.000 0.000 0.000
Ag 0.000 0.500 0.000
Ag 0.340 0.500 0.669
Ag 0.344 0.000 0.663
Ag 0.656 0.000 0.337
Ag 0.660 0.500 0.331
Pd 0.159 0.252 0.334
Pd 0.159 0.748 0.334
Pd 0.500 0.254 0.000
Pd 0.500 0.746 0.000
Pd 0.841 0.252 0.666
Pd 0.841 0.748 0.666
```

Entry 20:
A plane-wave DFT calculation with GGA-PBE was carried out for crystalline CaAsPtCl2 at its relaxed geometry. Values from VASP.

Space group = P4/mmm, No. 123
Volume = 25.8 Å³ per atom
Formation energy without anion corrections = -0.5715 eV per atom

```
&SYSTEM
  ibrav = 0, nat = 5, ntyp = 4
/
ATOMIC_SPECIES
Ca 40.08 Ca.upf
As 74.92 As.upf
Pt 195.08 Pt.upf
Cl 35.45 Cl.upf
CELL_PARAMETERS angstrom
5.222 0.000 0.000
0.000 5.222 0.000
0.000 0.000 4.726
ATOMIC_POSITIONS crystal
Ca 0.000 0.000 0.000
As 0.500 0.500 0.500
Pt 0.500 0.500 0.000
Cl 0.000 0.500 0.500
Cl 0.500 0.000 0.500
```

Entry 21:
A plane-wave DFT calculation with GGA-PBE was carried out for crystalline VCuNiRh at its relaxed geometry. Values from VASP.

ΔH_f (0 K) = -12.8 kJ/mol of atoms
Space group = F-43m, No. 216
Volume = 12.7 Å³ per atom

```
&SYSTEM
  ibrav = 0, nat = 4, ntyp = 4
/
ATOMIC_SPECIES
V 50.94 V.upf
Cu 63.55 Cu.upf
Ni 58.69 Ni.upf
Rh 102.91 Rh.upf
CELL_PARAMETERS angstrom
0.000 2.936 2.936
2.936 0.000 2.936
2.936 2.936 0.000
ATOMIC_POSITIONS crystal
V 0.000 0.000 0.000
Cu 0.500 0.500 0.500
Ni 0.750 0.750 0.750
Rh 0.250 0.250 0.250
```

Entry 22:
A plane-wave DFT calculation with GGA-PBE was carried out for crystalline Th2BeBIr6 at its relaxed geometry. Values from VASP.

ΔH_f (0 K) = -63.7 kJ/mol of atoms
Space group = C2/m, No. 12
Volume = 16.3 Å³ per atom

```
&SYSTEM
  ibrav = 0, nat = 10, ntyp = 4
/
ATOMIC_SPECIES
Th 232.04 Th.upf
Be 9.01 Be.upf
B 10.81 B.upf
Ir 192.22 Ir.upf
CELL_PARAMETERS angstrom
4.329 -4.330 0.000
4.329 4.330 0.000
-4.322 0.000 4.336
ATOMIC_POSITIONS crystal
Th 0.250 0.750 0.000
Th 0.750 0.250 0.000
Be 0.000 0.000 0.500
B 0.500 0.500 0.500
Ir 0.255 0.255 0.009
Ir 0.255 0.255 0.500
Ir 0.255 0.745 0.500
Ir 0.745 0.255 0.500
Ir 0.745 0.745 0.500
Ir 0.745 0.745 0.991
```

Entry 23:
A plane-wave DFT calculation with GGA-PBE was carried out for crystalline SmTlH at its relaxed geometry. Values from VASP.

Space group = P3m1, No. 156
E above lowest polymorph = 58 meV per atom
Volume = 21.8 Å³ per atom

```
&SYSTEM
  ibrav = 0, nat = 3, ntyp = 3
/
ATOMIC_SPECIES
Sm 150.36 Sm.upf
Tl 204.38 Tl.upf
H 1.01 H.upf
CELL_PARAMETERS angstrom
3.745 0.000 0.000
-1.873 3.244 0.000
0.000 0.000 5.374
ATOMIC_POSITIONS crystal
Sm 0.000 0.000 0.000
Tl 0.667 0.333 0.500
H 0.333 0.667 0.002
```